# 1
Entry from the Alexandria database: KRb2MoO3F3 at its PBEsol-relaxed geometry (SCAN).

Cell and atoms, written as extended XYZ:
```
10
Lattice="-3.307 3.851 -3.631 -4.672 -4.133 0.199 2.326 2.200 5.416" Properties=species:S:1:pos:R:3 pbc="T T T"
K -1.649 2.041 3.667
Rb -2.430 2.887 -0.088
Rb -3.113 -1.105 1.827
Mo -5.592 1.843 1.848
O -6.448 -0.124 -2.556
O -4.953 1.052 0.427
O -1.694 0.044 -0.512
F -2.034 -0.176 4.743
F -0.743 0.919 1.651
F -1.274 4.270 2.610
```

N(E_F) = 0.00 states/eV/f.u.
Formation energy from raw total energies = -2.57 eV/atom
Space-group type = Fmm2, No. 42
DFT total energy = -13.9724 eV per atom

---

# 2
Entry from the Alexandria database: KRb2MoO3F3 at its PBEsol-relaxed geometry (SCAN).

Cell and atoms, written as extended XYZ:
```
20
Lattice="-4.478 -3.388 2.757 4.365 -3.605 2.660 0.215 5.549 7.168" Properties=species:S:1:pos:R:3 pbc="T T T"
K 0.158 2.029 9.847
K 0.107 2.751 3.554
Rb 2.233 -0.504 3.007
Rb -2.188 -0.395 3.056
Rb -2.081 2.379 6.640
Rb 2.341 2.270 6.591
Mo 0.211 5.446 7.035
Mo 0.048 -0.825 6.159
O 0.034 -1.995 7.534
O 0.170 4.377 5.654
O 2.604 -3.438 2.839
O 0.006 -1.894 4.778
O -2.706 -3.308 2.897
O 0.079 0.799 5.370
F 0.048 1.235 1.596
F 0.190 3.982 8.368
F 2.024 -0.777 6.262
F 0.100 0.513 7.888
F -1.921 -0.680 6.305
F 0.128 0.109 11.368
```

N(E_F) = 0.00 states/eV/f.u.
Formation energy from raw total energies = -2.57 eV/atom
Space-group type = P4_2nm, No. 102
DFT total energy = -13.9711 eV per atom

---

Question: Number 1 is which compound?
Answer: KRb2MoO3F3